[1]
Here is crystalline RhPbAu at its relaxed geometry from Alexandria via LeMat-Bulk. Energies are from PBE.

a = 4.519 Å, b = 4.519 Å, c = 4.519 Å
α = 60.00°, β = 60.00°, γ = 60.00°
Fractional positions:
Pb1 0.500 0.500 0.500
Rh1 0.250 0.250 0.250
Au1 0.000 0.000 0.000

The crystal system is cubic. The space group is No. 216. The calculation puts the calculated density at 12.91 g/cm³. The energy above the most stable polymorph in this dataset is 0.0 meV per atom. As for the final energy: -4.7027 eV per atom. For the energy of formation, the calculation gives 0.08 eV/atom.

[2]
Here is crystalline RhPbAu at its relaxed geometry from Alexandria via LeMat-Bulk. Energies are from PBE.

a = 4.493 Å, b = 4.493 Å, c = 3.409 Å
α = 90.00°, β = 90.00°, γ = 120.00°
Fractional positions:
Rh1 0.333 0.667 0.621
Pb1 0.667 0.333 0.383
Au1 0.000 0.000 0.995

The crystal system is trigonal. The space group is No. 156. The calculation puts the calculated density at 14.13 g/cm³. The energy above the most stable polymorph in this dataset is 80.6 meV per atom. As for the final energy: -4.6222 eV per atom. For the energy of formation, the calculation gives 0.16 eV/atom.

[3]
Here is crystalline RhPbAu2 at its relaxed geometry from Alexandria via LeMat-Bulk. Energies are from PBE.

a = 5.341 Å, b = 3.149 Å, c = 4.635 Å
α = 89.08°, β = 90.00°, γ = 90.00°
Fractional positions:
Rh1 0.500 0.500 0.000
Au1 0.000 0.745 0.245
Au2 0.000 0.255 0.755
Pb1 0.500 0.000 0.500

The crystal system is monoclinic. The space group is No. 10. The calculation puts the calculated density at 15.00 g/cm³. As for the final energy: -4.2770 eV per atom. For the energy of formation, the calculation gives 0.13 eV/atom.

[4]
Here is crystalline RhPbAu2 at its relaxed geometry from Alexandria via LeMat-Bulk. Energies are from PBE.

a = 5.174 Å, b = 5.174 Å, c = 5.174 Å
α = 131.63°, β = 131.63°, γ = 70.82°
Fractional positions:
Au1 0.750 0.250 0.500
Au2 0.000 0.000 0.000
Rh1 0.250 0.750 0.500
Pb1 0.500 0.500 0.000

The crystal system is tetragonal. The space group is No. 119. The calculation puts the calculated density at 15.43 g/cm³. As for the final energy: -4.2985 eV per atom. For the energy of formation, the calculation gives 0.11 eV/atom.